DFT (PBE) results for a geometry-optimized TlTc2Pt structure.

Summary:
Its formation energy is 0.4964 eV per atom. The total moment is 0.000 μB per atom. The calculation puts the volume at 67 Å³ per cell.

Cell: 2.850 2.850 8.216 Å, 90.00 90.00 90.00°
Fractional coordinates of all 4 atoms:
Tl  0.000  0.000  0.000
Tc  0.500  0.500  0.270
Tc  0.500  0.500  0.730
Pt  0.000  0.000  0.500

DFT (PBE) results for a geometry-optimized La13Pm2 structure.

Summary:
Its formation energy is 0.1224 eV per atom. The total moment is 0.000 μB per atom. The calculation puts the volume at 558 Å³ per cell.

Cell: 12.694 12.694 12.694 Å, 33.60 33.60 33.60°
Fractional coordinates of all 15 atoms:
La  0.000  0.000  0.000
La  0.043  0.545  0.545
La  0.205  0.714  0.714
La  0.286  0.286  0.795
La  0.286  0.795  0.286
La  0.455  0.455  0.957
La  0.455  0.957  0.455
La  0.545  0.043  0.545
La  0.545  0.545  0.043
La  0.714  0.205  0.714
La  0.714  0.714  0.205
La  0.795  0.286  0.286
La  0.957  0.455  0.455
Pm  0.206  0.206  0.206
Pm  0.794  0.794  0.794

DFT (PBE) results for a geometry-optimized CaNd2ThS4 structure.

Summary:
The value obtained for the formation energy (no corrections) is -1.974 eV/atom. The total moment is 0.000 μB per atom. The calculation puts the volume at 188 Å³ per cell.

Cell: 6.988 4.030 7.064 Å, 90.00 109.19 90.00°
Fractional coordinates of all 8 atoms:
Ca  0.000  0.000  0.000
Nd  0.500  0.000  0.500
Nd  0.500  0.500  0.000
Th  0.000  0.500  0.500
S  0.242  0.500  0.245
S  0.244  0.000  0.752
S  0.756  0.000  0.248
S  0.758  0.500  0.755

DFT (PBE) results for a geometry-optimized BaLiH6Rh structure.

Summary:
The calculated total energy comes out at -3.904 eV/atom. The total moment is 0.000 μB per atom. The calculation puts the volume at 110 Å³ per cell.

Cell: 4.978 4.978 5.105 Å, 90.00 90.00 120.00°
Fractional coordinates of all 9 atoms:
Ba  0.000  0.000  0.000
Li  0.333  0.667  0.500
H  0.419  0.047  0.692
H  0.419  0.371  0.309
H  0.628  0.581  0.692
H  0.629  0.047  0.309
H  0.953  0.372  0.692
H  0.953  0.581  0.309
Rh  0.667  0.333  0.501

DFT (PBE) results for a geometry-optimized Cs4HCl2 structure.

Summary:
The calculated total energy comes out at -2.545 eV/atom. The total moment is 0.000 μB per atom. The calculation puts the volume at 333 Å³ per cell.

Cell: 9.838 9.838 9.838 Å, 143.61 143.61 52.41°
Fractional coordinates of all 7 atoms:
Cs  0.000  0.500  0.500
Cs  0.196  0.196  0.000
Cs  0.500  0.000  0.500
Cs  0.804  0.804  0.000
H  0.000  0.000  0.000
Cl  0.386  0.386  0.000
Cl  0.614  0.614  0.000

DFT (PBE) results for a geometry-optimized TcCS2Br structure.

Summary:
The value obtained for the formation energy (no corrections) is 2.276 eV/atom. The total moment is 0.622 μB per atom. The calculation puts the volume at 99 Å³ per cell.

Cell: 4.952 4.952 4.022 Å, 90.00 90.00 90.00°
Fractional coordinates of all 5 atoms:
Tc  0.000  0.000  0.000
C  0.500  0.500  0.000
S  0.000  0.500  0.500
S  0.500  0.000  0.500
Br  0.500  0.500  0.500

- Which value of total moment does entry 6 give?
  0.622 μB per atom

Please write out number 6 again, unchanged.
DFT (PBE) results for a geometry-optimized TcCS2Br structure.

Summary:
The value obtained for the formation energy (no corrections) is 2.276 eV/atom. The total moment is 0.622 μB per atom. The calculation puts the volume at 99 Å³ per cell.

Cell: 4.952 4.952 4.022 Å, 90.00 90.00 90.00°
Fractional coordinates of all 5 atoms:
Tc  0.000  0.000  0.000
C  0.500  0.500  0.000
S  0.000  0.500  0.500
S  0.500  0.000  0.500
Br  0.500  0.500  0.500

- total moment of number 4 (BaLiH6Rh)?
  0.000 μB per atom